A plane-wave DFT calculation with PBEsol was carried out for an optimized crystal structure of Be2CdP.

a b c (Å): 3.9080 3.9080 5.3692
angles (deg): 97.57 97.57 50.52
Last column: nearest neighbours and their distance in Å.
Element x y z (fractional)
Be (0.0000, 0.0000, 0.0000)  3 Be 2.06-2.30, 2 P 2.11
Be (0.7064, 0.7064, 0.9179)  3 Be 2.06-2.30, 1 P 2.11
Cd (0.2927, 0.2927, 0.3047)  3 Be 2.44-2.66, 1 P 2.52
P (0.4129, 0.4129, 0.7698)  3 Be 2.11

Summary:
- total moment (μB/cell) = 0.0
- E_tot (eV per atom) = -3.58